Entry 1:
BHS2: single point on PBEsol structure, meta-GGA SCAN.

Cell and atoms, written as POSCAR:
```
BHS2
1.0
4.5512 0.0000 0.0000
0.0000 4.5512 0.0000
-2.2756 -2.2756 4.4315
H S B
2 4 2
Direct
0.7500 0.2500 0.5000
0.5000 0.5000 0.0000
0.1250 0.1131 0.7500
0.8869 0.3750 0.2500
0.6250 0.6369 0.7500
0.3631 0.8750 0.2500
0.2500 0.7500 0.5000
0.0000 0.0000 0.0000
```

Values from the calculation:
**Total moment**: 0.00 μB/cell
**E**: -0.5576 Ry per atom

Entry 2:
BeZnCr3: single point on PBEsol structure, meta-GGA SCAN.

Cell and atoms, written as POSCAR:
```
BeZnCr3
1.0
4.5831 0.0000 0.0000
0.0000 4.5831 0.0000
0.0000 0.0000 4.5831
Be Zn Cr
1 1 3
Direct
0.5000 0.5000 0.5000
0.0000 0.0000 0.0000
0.0000 0.0000 0.5000
0.0000 0.5000 0.0000
0.5000 0.0000 0.0000
```

Values from the calculation:
**Total moment**: 12.39 μB/cell
**E**: -0.9758 Ry per atom

Entry 3:
Sr2RhAu: single point on PBEsol structure, meta-GGA SCAN.

Cell and atoms, written as POSCAR:
```
Sr2RhAu
1.0
3.6210 0.0000 0.0000
-1.8105 3.8802 0.2016
0.0000 -1.9814 7.5800
Sr Au Rh
2 1 1
Direct
0.2475 0.4950 0.2267
0.7525 0.5050 0.7733
0.0000 0.0000 0.5000
0.5000 0.0000 0.0000
```

Values from the calculation:
**Total moment**: 0.00 μB/cell
**E**: -2.7337 Ry per atom

Entry 4:
HfTiNi2: single point on PBEsol structure, meta-GGA SCAN.

Cell and atoms, written as POSCAR:
```
HfTiNi2
1.0
4.3206 0.0000 0.0000
2.1603 3.7417 0.0000
2.1603 1.2472 3.5277
Ni Hf Ti
2 1 1
Direct
0.7500 0.7500 0.7500
0.2500 0.2500 0.2500
0.5000 0.5000 0.5000
0.0000 0.0000 0.0000
```

Values from the calculation:
**Total moment**: 0.00 μB/cell
**E**: -2.0703 Ry per atom

Entry 5:
MnRePb2Cl: single point on PBEsol structure, meta-GGA SCAN.

Cell and atoms, written as POSCAR:
```
MnRePb2Cl
1.0
4.0921 0.0000 0.0000
0.0000 5.3577 0.0000
0.0000 0.0000 5.3577
Pb Cl Re Mn
2 1 1 1
Direct
0.0000 0.5000 0.0000
0.0000 0.0000 0.5000
0.0000 0.0000 0.0000
0.5000 0.5000 0.5000
0.5000 0.0000 0.0000
```

Values from the calculation:
**Total moment**: 6.64 μB/cell
**E**: -3.5601 Ry per atom

Entry 6:
Y2Rh2Au: single point on PBEsol structure, meta-GGA SCAN.

Cell and atoms, written as POSCAR:
```
Y2Rh2Au
1.0
5.1938 0.0000 0.0000
-2.5969 4.7334 -0.0011
0.0000 2.8506 4.3417
Au Y Rh
1 2 2
Direct
0.0000 0.0000 0.0000
0.2500 0.5000 0.2500
0.7500 0.5000 0.7500
0.3407 0.6814 0.6593
0.6593 0.3186 0.3407
```

Values from the calculation:
**Total moment**: 0.00 μB/cell
**Relative energy among the computed polymorphs**: 0.298 eV/atom